Entry from the Alexandria database: Tb4BBr6 after structural relaxation (GGA-PBE).

Cell: 10.814 10.814 12.673 Å, 84.80 84.80 63.32°
Fractional coordinates of all 44 atoms:
Tb 0.117 0.811 0.604
Tb 0.289 0.529 0.808
Tb 0.641 0.419 0.912
Tb 0.217 0.456 0.545
Tb 0.529 0.289 0.308
Tb 0.359 0.581 0.088
Tb 0.711 0.471 0.192
Tb 0.883 0.189 0.396
Tb 0.471 0.711 0.692
Tb 0.456 0.217 0.045
Tb 0.581 0.359 0.588
Tb 0.544 0.783 0.955
Tb 0.783 0.544 0.455
Tb 0.811 0.117 0.104
Tb 0.189 0.883 0.896
Tb 0.419 0.641 0.412
Br 0.087 0.841 0.103
Br 0.913 0.159 0.897
Br 0.774 0.017 0.318
Br 0.253 0.530 0.314
Br 0.545 0.806 0.476
Br 0.159 0.913 0.397
Br 0.621 0.856 0.754
Br 0.983 0.226 0.182
Br 0.806 0.545 0.976
Br 0.948 0.692 0.533
Br 0.530 0.253 0.814
Br 0.692 0.948 0.033
Br 0.052 0.308 0.467
Br 0.226 0.983 0.682
Br 0.747 0.470 0.686
Br 0.841 0.087 0.603
Br 0.379 0.144 0.246
Br 0.455 0.194 0.524
Br 0.144 0.379 0.746
Br 0.308 0.052 0.967
Br 0.194 0.455 0.024
Br 0.017 0.774 0.818
Br 0.470 0.747 0.186
Br 0.856 0.621 0.254
B 0.588 0.340 0.105
B 0.412 0.660 0.895
B 0.660 0.412 0.395
B 0.340 0.588 0.605

Output
D(E_F): 3.3 states/eV/f.u.
Size of the total moment: 0.0 μB/cell
E_form (uncorrected): -1.51 eV per atom
Symmetry: No. 15